# GGA-PBE YHgCl2, relaxed
# E above lowest polymorph: 257 meV/atom
# Fermi-level density of states: 2.152 states/eV per cell
# E_form (uncorrected): -1.17 eV per atom
data_YHgCl2
_chemical_formula_sum 'Y1 Hg1 Cl2'
_symmetry_space_group_name_H-M 'P 4 m m'
_symmetry_Int_Tables_number 99
_symmetry_space_group_name_Hall 'P 4 -2'
_cell_length_a 3.824
_cell_length_b 3.824
_cell_length_c 7.266
_cell_angle_alpha 90.00
_cell_angle_beta 90.00
_cell_angle_gamma 90.00
loop_
_atom_site_label
_atom_site_type_symbol
_atom_site_fract_x
_atom_site_fract_y
_atom_site_fract_z
Y1 Y 0.000 0.000 0.000
Hg1 Hg 0.500 0.500 0.662
Cl1 Cl 0.000 0.000 0.351
Cl2 Cl 0.500 0.500 0.097

---

# GGA-PBE YHgCl2, relaxed
# E above lowest polymorph: 458 meV/atom
# Fermi-level density of states: 2.847 states/eV per cell
# E_form (uncorrected): -0.97 eV per atom
data_YHgCl2
_chemical_formula_sum 'Y2 Hg2 Cl4'
_symmetry_space_group_name_H-M 'C 1 2/m 1'
_symmetry_Int_Tables_number 12
_symmetry_space_group_name_Hall '-C 2y'
_cell_length_a 6.846
_cell_length_b 9.441
_cell_length_c 3.721
_cell_angle_alpha 90.00
_cell_angle_beta 122.53
_cell_angle_gamma 90.00
loop_
_atom_site_label
_atom_site_type_symbol
_atom_site_fract_x
_atom_site_fract_y
_atom_site_fract_z
Y1 Y 0.000 0.000 0.000
Hg1 Hg 0.000 0.500 0.000
Cl1 Cl 0.250 0.250 0.500

---

# GGA-PBE YHgCl2, relaxed
# E above lowest polymorph: 3 meV/atom
# Fermi-level density of states: 7.013 states/eV per cell
# E_form (uncorrected): -1.42 eV per atom
data_YHgCl2
_chemical_formula_sum 'Y3 Hg3 Cl6'
_symmetry_space_group_name_H-M 'R -3 m'
_symmetry_Int_Tables_number 166
_symmetry_space_group_name_Hall '-R 3 2"'
_cell_length_a 3.7349
_cell_length_b 3.7349
_cell_length_c 32.1297
_cell_angle_alpha 90.00
_cell_angle_beta 90.00
_cell_angle_gamma 120.00
loop_
_atom_site_label
_atom_site_type_symbol
_atom_site_fract_x
_atom_site_fract_y
_atom_site_fract_z
Y1 Y 0.0000 0.0000 0.0000
Hg1 Hg 0.0000 0.0000 0.5000
Cl1 Cl 0.0000 0.0000 0.2808

---

# GGA-PBE YHgCl2, relaxed
# E above lowest polymorph: 451 meV/atom
# Fermi-level density of states: 2.007 states/eV per cell
# E_form (uncorrected): -0.97 eV per atom
data_YHgCl2
_chemical_formula_sum 'Y1 Hg1 Cl2'
_symmetry_space_group_name_H-M 'P m m m'
_symmetry_Int_Tables_number 47
_symmetry_space_group_name_Hall '-P 2 2'
_cell_length_a 4.153
_cell_length_b 4.491
_cell_length_c 5.054
_cell_angle_alpha 90.00
_cell_angle_beta 90.00
_cell_angle_gamma 90.00
loop_
_atom_site_label
_atom_site_type_symbol
_atom_site_fract_x
_atom_site_fract_y
_atom_site_fract_z
Y1 Y 0.000 0.000 0.000
Hg1 Hg 0.500 0.000 0.500
Cl1 Cl 0.000 0.500 0.500
Cl2 Cl 0.500 0.500 0.000

---

# GGA-PBE YHg3Cl9, relaxed
# Fermi-level density of states: 0.000 states/eV per cell
# E_form (uncorrected): -1.06 eV per atom
data_YHg3Cl9
_chemical_formula_sum 'Y4 Hg12 Cl36'
_symmetry_space_group_name_H-M 'C 1 c 1'
_symmetry_Int_Tables_number 9
_symmetry_space_group_name_Hall 'C -2yc'
_cell_length_a 19.356
_cell_length_b 9.044
_cell_length_c 13.184
_cell_angle_alpha 90.00
_cell_angle_beta 130.16
_cell_angle_gamma 90.00
loop_
_atom_site_label
_atom_site_type_symbol
_atom_site_fract_x
_atom_site_fract_y
_atom_site_fract_z
Y1 Y 0.000 0.208 0.000
Hg1 Hg 0.107 0.435 0.805
Hg2 Hg 0.283 0.117 0.818
Hg3 Hg 0.359 0.371 0.633
Cl1 Cl 0.006 0.077 0.193
Cl2 Cl 0.105 0.453 0.131
Cl3 Cl 0.136 0.037 0.100
Cl4 Cl 0.193 0.356 0.482
Cl5 Cl 0.233 0.217 0.929
Cl6 Cl 0.371 0.469 0.320
Cl7 Cl 0.373 0.137 0.477
Cl8 Cl 0.375 0.115 0.756
Cl9 Cl 0.493 0.204 0.295

---

# GGA-PBE YHgCl2, relaxed
# E above lowest polymorph: 57 meV/atom
# Fermi-level density of states: 4.412 states/eV per cell
# E_form (uncorrected): -1.37 eV per atom
data_YHgCl2
_chemical_formula_sum 'Y2 Hg2 Cl4'
_symmetry_space_group_name_H-M 'C 1 2/m 1'
_symmetry_Int_Tables_number 12
_symmetry_space_group_name_Hall '-C 2y'
_cell_length_a 13.580
_cell_length_b 3.650
_cell_length_c 5.717
_cell_angle_alpha 90.00
_cell_angle_beta 114.78
_cell_angle_gamma 90.00
loop_
_atom_site_label
_atom_site_type_symbol
_atom_site_fract_x
_atom_site_fract_y
_atom_site_fract_z
Y1 Y 0.000 0.000 0.000
Hg1 Hg 0.000 0.500 0.500
Cl1 Cl 0.158 0.500 0.157

---

# GGA-PBE YHgCl2, relaxed
# E above lowest polymorph: 393 meV/atom
# Fermi-level density of states: 4.761 states/eV per cell
# E_form (uncorrected): -1.03 eV per atom
data_YHgCl2
_chemical_formula_sum 'Y2 Hg2 Cl4'
_symmetry_space_group_name_H-M 'I 4/m m m'
_symmetry_Int_Tables_number 139
_symmetry_space_group_name_Hall '-I 4 2'
_cell_length_a 4.654
_cell_length_b 4.654
_cell_length_c 8.591
_cell_angle_alpha 90.00
_cell_angle_beta 90.00
_cell_angle_gamma 90.00
loop_
_atom_site_label
_atom_site_type_symbol
_atom_site_fract_x
_atom_site_fract_y
_atom_site_fract_z
Y1 Y 0.000 0.000 0.000
Hg1 Hg 0.000 0.000 0.500
Cl1 Cl 0.000 0.500 0.250

---

# GGA-PBE YHgCl3, relaxed
# E above lowest polymorph: 0 meV/atom
# Fermi-level density of states: 0.000 states/eV per cell
# E_form (uncorrected): -1.71 eV per atom
data_YHgCl3
_chemical_formula_sum 'Y1 Hg1 Cl3'
_symmetry_space_group_name_H-M 'P m -3 m'
_symmetry_Int_Tables_number 221
_symmetry_space_group_name_Hall '-P 4 2 3'
_cell_length_a 5.345
_cell_length_b 5.345
_cell_length_c 5.345
_cell_angle_alpha 90.00
_cell_angle_beta 90.00
_cell_angle_gamma 90.00
loop_
_atom_site_label
_atom_site_type_symbol
_atom_site_fract_x
_atom_site_fract_y
_atom_site_fract_z
Y1 Y 0.000 0.000 0.000
Hg1 Hg 0.500 0.500 0.500
Cl1 Cl 0.000 0.000 0.500

---

# GGA-PBE YHgCl2, relaxed
# E above lowest polymorph: 94 meV/atom
# Fermi-level density of states: 2.168 states/eV per cell
# E_form (uncorrected): -1.33 eV per atom
data_YHgCl2
_chemical_formula_sum 'Y1 Hg1 Cl2'
_symmetry_space_group_name_H-M 'P 1 m 1'
_symmetry_Int_Tables_number 6
_symmetry_space_group_name_Hall 'P -2y'
_cell_length_a 5.282
_cell_length_b 4.284
_cell_length_c 6.639
_cell_angle_alpha 90.00
_cell_angle_beta 113.24
_cell_angle_gamma 90.00
loop_
_atom_site_label
_atom_site_type_symbol
_atom_site_fract_x
_atom_site_fract_y
_atom_site_fract_z
Y1 Y 0.000 0.000 0.000
Hg1 Hg 0.818 0.500 0.631
Cl1 Cl 0.127 0.500 0.252
Cl2 Cl 0.479 0.000 0.957

---

# GGA-PBE YHgCl6, relaxed
# Fermi-level density of states: 0.015 states/eV per cell
# E_form (uncorrected): -1.20 eV per atom
data_YHgCl6
_chemical_formula_sum 'Y1 Hg1 Cl6'
_symmetry_space_group_name_H-M 'P -1'
_symmetry_Int_Tables_number 2
_symmetry_space_group_name_Hall '-P 1'
_cell_length_a 6.643
_cell_length_b 6.794
_cell_length_c 6.844
_cell_angle_alpha 61.42
_cell_angle_beta 88.90
_cell_angle_gamma 67.35
loop_
_atom_site_label
_atom_site_type_symbol
_atom_site_fract_x
_atom_site_fract_y
_atom_site_fract_z
Y1 Y 0.000 0.000 0.000
Hg1 Hg 0.500 0.000 0.500
Cl1 Cl 0.050 0.533 0.170
Cl2 Cl 0.235 0.809 0.395
Cl3 Cl 0.399 0.867 0.871

---

# GGA-PBE YHgCl3, relaxed
# E above lowest polymorph: 1341 meV/atom
# Fermi-level density of states: 7.032 states/eV per cell
# E_form (uncorrected): -0.36 eV per atom
data_YHgCl3
_chemical_formula_sum 'Y1 Hg1 Cl3'
_symmetry_space_group_name_H-M 'P m -3 m'
_symmetry_Int_Tables_number 221
_symmetry_space_group_name_Hall '-P 4 2 3'
_cell_length_a 5.326
_cell_length_b 5.326
_cell_length_c 5.326
_cell_angle_alpha 90.00
_cell_angle_beta 90.00
_cell_angle_gamma 90.00
loop_
_atom_site_label
_atom_site_type_symbol
_atom_site_fract_x
_atom_site_fract_y
_atom_site_fract_z
Y1 Y 0.000 0.000 0.000
Hg1 Hg 0.500 0.500 0.500
Cl1 Cl 0.000 0.500 0.500

---

# GGA-PBE Y3HgCl, relaxed
# E above lowest polymorph: 0 meV/atom
# Fermi-level density of states: 1.997 states/eV per cell
# E_form (uncorrected): -0.51 eV per atom
data_Y3HgCl
_chemical_formula_sum 'Y3 Hg1 Cl1'
_symmetry_space_group_name_H-M 'P m -3 m'
_symmetry_Int_Tables_number 221
_symmetry_space_group_name_Hall '-P 4 2 3'
_cell_length_a 5.122
_cell_length_b 5.122
_cell_length_c 5.122
_cell_angle_alpha 90.00
_cell_angle_beta 90.00
_cell_angle_gamma 90.00
loop_
_atom_site_label
_atom_site_type_symbol
_atom_site_fract_x
_atom_site_fract_y
_atom_site_fract_z
Y1 Y 0.000 0.000 0.500
Hg1 Hg 0.500 0.500 0.500
Cl1 Cl 0.000 0.000 0.000

---

# GGA-PBE YHgCl2, relaxed
# E above lowest polymorph: 0 meV/atom
# Fermi-level density of states: 6.843 states/eV per cell
# E_form (uncorrected): -1.42 eV per atom
data_YHgCl2
_chemical_formula_sum 'Y3 Hg3 Cl6'
_symmetry_space_group_name_H-M 'R -3 m'
_symmetry_Int_Tables_number 166
_symmetry_space_group_name_Hall '-R 3 2"'
_cell_length_a 3.7045
_cell_length_b 3.7045
_cell_length_c 32.5322
_cell_angle_alpha 90.00
_cell_angle_beta 90.00
_cell_angle_gamma 120.00
loop_
_atom_site_label
_atom_site_type_symbol
_atom_site_fract_x
_atom_site_fract_y
_atom_site_fract_z
Y1 Y 0.0000 0.0000 0.0000
Hg1 Hg 0.0000 0.0000 0.5000
Cl1 Cl 0.0000 0.0000 0.3855

---

# GGA-PBE Y2Hg2Cl, relaxed
# E above lowest polymorph: 472 meV/atom
# Fermi-level density of states: 6.174 states/eV per cell
# E_form (uncorrected): -0.34 eV per atom
data_Y2Hg2Cl
_chemical_formula_sum 'Y4 Hg4 Cl2'
_symmetry_space_group_name_H-M 'I 4/m m m'
_symmetry_Int_Tables_number 139
_symmetry_space_group_name_Hall '-I 4 2'
_cell_length_a 4.128
_cell_length_b 4.128
_cell_length_c 16.451
_cell_angle_alpha 90.00
_cell_angle_beta 90.00
_cell_angle_gamma 90.00
loop_
_atom_site_label
_atom_site_type_symbol
_atom_site_fract_x
_atom_site_fract_y
_atom_site_fract_z
Y1 Y 0.000 0.000 0.106
Hg1 Hg 0.000 0.500 0.250
Cl1 Cl 0.000 0.000 0.500

---

# GGA-PBE YHg2Cl2, relaxed
# E above lowest polymorph: 181 meV/atom
# Fermi-level density of states: 4.260 states/eV per cell
# E_form (uncorrected): -0.79 eV per atom
data_YHg2Cl2
_chemical_formula_sum 'Y2 Hg4 Cl4'
_symmetry_space_group_name_H-M 'I 4/m m m'
_symmetry_Int_Tables_number 139
_symmetry_space_group_name_Hall '-I 4 2'
_cell_length_a 3.811
_cell_length_b 3.811
_cell_length_c 20.912
_cell_angle_alpha 90.00
_cell_angle_beta 90.00
_cell_angle_gamma 90.00
loop_
_atom_site_label
_atom_site_type_symbol
_atom_site_fract_x
_atom_site_fract_y
_atom_site_fract_z
Y1 Y 0.000 0.000 0.000
Hg1 Hg 0.000 0.500 0.250
Cl1 Cl 0.000 0.000 0.427

---

# GGA-PBE YHgCl2, relaxed
# E above lowest polymorph: 313 meV/atom
# Fermi-level density of states: 5.524 states/eV per cell
# E_form (uncorrected): -1.11 eV per atom
data_YHgCl2
_chemical_formula_sum 'Y4 Hg4 Cl8'
_symmetry_space_group_name_H-M 'I -4 2 d'
_symmetry_Int_Tables_number 122
_symmetry_space_group_name_Hall 'I -4 2bw'
_cell_length_a 6.391
_cell_length_b 6.391
_cell_length_c 15.527
_cell_angle_alpha 90.00
_cell_angle_beta 90.00
_cell_angle_gamma 90.00
loop_
_atom_site_label
_atom_site_type_symbol
_atom_site_fract_x
_atom_site_fract_y
_atom_site_fract_z
Y1 Y 0.000 0.000 0.000
Hg1 Hg 0.000 0.000 0.500
Cl1 Cl 0.098 0.250 0.125

---

# GGA-PBE YHgCl2, relaxed
# E above lowest polymorph: 26 meV/atom
# Fermi-level density of states: 1.923 states/eV per cell
# E_form (uncorrected): -1.40 eV per atom
data_YHgCl2
_chemical_formula_sum 'Y1 Hg1 Cl2'
_symmetry_space_group_name_H-M 'P 4/m m m'
_symmetry_Int_Tables_number 123
_symmetry_space_group_name_Hall '-P 4 2'
_cell_length_a 3.397
_cell_length_b 3.397
_cell_length_c 10.017
_cell_angle_alpha 90.00
_cell_angle_beta 90.00
_cell_angle_gamma 90.00
loop_
_atom_site_label
_atom_site_type_symbol
_atom_site_fract_x
_atom_site_fract_y
_atom_site_fract_z
Y1 Y 0.000 0.000 0.000
Hg1 Hg 0.000 0.000 0.500
Cl1 Cl 0.500 0.500 0.157

---

# GGA-PBE YHgCl2, relaxed
# E above lowest polymorph: 634 meV/atom
# Fermi-level density of states: 13.911 states/eV per cell
# E_form (uncorrected): -0.79 eV per atom
data_YHgCl2
_chemical_formula_sum 'Y4 Hg4 Cl8'
_symmetry_space_group_name_H-M 'F -4 3 m'
_symmetry_Int_Tables_number 216
_symmetry_space_group_name_Hall 'F -4 2 3'
_cell_length_a 7.274
_cell_length_b 7.274
_cell_length_c 7.274
_cell_angle_alpha 90.00
_cell_angle_beta 90.00
_cell_angle_gamma 90.00
loop_
_atom_site_label
_atom_site_type_symbol
_atom_site_fract_x
_atom_site_fract_y
_atom_site_fract_z
Y1 Y 0.000 0.000 0.000
Hg1 Hg 0.250 0.250 0.750
Cl1 Cl 0.000 0.000 0.500
Cl2 Cl 0.250 0.250 0.250

---

# GGA-PBE YHgCl2, relaxed
# E above lowest polymorph: 124 meV/atom
# Fermi-level density of states: 2.785 states/eV per cell
# E_form (uncorrected): -1.30 eV per atom
data_YHgCl2
_chemical_formula_sum 'Y2 Hg2 Cl4'
_symmetry_space_group_name_H-M 'I m m 2'
_symmetry_Int_Tables_number 44
_symmetry_space_group_name_Hall 'I 2 -2'
_cell_length_a 3.371
_cell_length_b 4.673
_cell_length_c 14.950
_cell_angle_alpha 90.00
_cell_angle_beta 90.00
_cell_angle_gamma 90.00
loop_
_atom_site_label
_atom_site_type_symbol
_atom_site_fract_x
_atom_site_fract_y
_atom_site_fract_z
Y1 Y 0.000 0.000 0.000
Hg1 Hg 0.000 0.500 0.312
Cl1 Cl 0.000 0.000 0.476
Cl2 Cl 0.000 0.500 0.642

---

# GGA-PBE YHgCl2, relaxed
# E above lowest polymorph: 41 meV/atom
# Fermi-level density of states: 4.933 states/eV per cell
# E_form (uncorrected): -1.38 eV per atom
data_YHgCl2
_chemical_formula_sum 'Y2 Hg2 Cl4'
_symmetry_space_group_name_H-M 'C 1 m 1'
_symmetry_Int_Tables_number 8
_symmetry_space_group_name_Hall 'C -2y'
_cell_length_a 12.080
_cell_length_b 3.751
_cell_length_c 6.788
_cell_angle_alpha 90.00
_cell_angle_beta 118.69
_cell_angle_gamma 90.00
loop_
_atom_site_label
_atom_site_type_symbol
_atom_site_fract_x
_atom_site_fract_y
_atom_site_fract_z
Y1 Y 0.000 0.000 0.000
Hg1 Hg 0.266 0.000 0.000
Cl1 Cl 0.112 0.500 0.312
Cl2 Cl 0.446 0.000 0.689